1) YTmMgCo: relaxed, PBE.

Cell lengths 3.3853, 3.3853, 8.0139 Å; angles 90.00, 90.00, 90.00 degrees
Positions (direct):
Mg 0.0000 0.0000 0.0758
Tm 0.5000 0.5000 0.3708
Y 0.5000 0.5000 0.7734
Co 0.0000 0.0000 0.5647

2) YTmMgCo: relaxed, PBE.

Cell lengths 4.9932, 4.9932, 4.9932 Å; angles 60.00, 60.00, 60.00 degrees
Positions (direct):
Tm 0.0000 0.0000 0.0000
Y 0.5000 0.5000 0.5000
Co 0.7500 0.7500 0.7500
Mg 0.2500 0.2500 0.2500

Result of the stability comparison: 1) is the most stable of them.

1) MgV2Co2: relaxed, PBE.

Cell lengths 7.1783, 7.1783, 2.5879 Å; angles 90.00, 90.00, 90.00 degrees
Positions (direct):
Co 0.3554 0.1446 0.5000
Co 0.6446 0.8554 0.5000
Co 0.1446 0.6446 0.5000
Co 0.8554 0.3554 0.5000
V 0.6456 0.1456 0.0000
V 0.1456 0.3544 0.0000
V 0.3544 0.8544 0.0000
V 0.8544 0.6456 0.0000
Mg 0.5000 0.5000 0.0000
Mg 0.0000 0.0000 0.0000

2) MgV2Co2: relaxed, PBE.

Cell lengths 3.9559, 3.9559, 5.4167 Å; angles 68.58, 68.58, 90.00 degrees
Positions (direct):
V 0.7500 0.2500 0.5000
V 0.2500 0.7500 0.5000
Co 0.3792 0.3792 0.2417
Co 0.6208 0.6208 0.7583
Mg 0.0000 0.0000 0.0000

3) MgV2Co2: relaxed, PBE.

Cell lengths 7.0027, 7.0027, 2.6964 Å; angles 90.00, 90.00, 90.00 degrees
Positions (direct):
V 0.6606 0.8394 0.5000
V 0.3394 0.1606 0.5000
V 0.1606 0.6606 0.5000
V 0.8394 0.3394 0.5000
Co 0.8696 0.6304 0.0000
Co 0.1304 0.3696 0.0000
Co 0.3696 0.8696 0.0000
Co 0.6304 0.1304 0.0000
Mg 0.5000 0.5000 0.0000
Mg 0.0000 0.0000 0.0000

Result of the stability comparison: 3) is the most stable of them.